A relaxed Ac3Al2SiPd6 crystal, computed with GGA-PBE.

Computed properties:
**E_form (uncorrected)**: -0.6818 eV per atom
**E**: -5.381 eV per atom
**DOS at the Fermi energy**: 8.58 states/eV per cell
**Magnetic moment**: 0.0 μB/f.u.

Unit cell a=6.0769 b=6.0769 c=8.6273 alpha=90.00 beta=90.00 gamma=120.00
With the nearest neighbours (Å) after each atom.
Space group P-3m1 (No. 164)
Unique sites:
Ac1 0.0000 0.0000 0.0000 x1  6 Pd 3.35, 6 Al 3.59
Ac2 0.3333 0.6667 0.6849 x2  6 Pd 3.04
Al1 0.3333 0.6667 0.0874 x2  3 Pd 2.62
Si1 0.0000 0.0000 0.5000 x1  6 Pd 2.40
Pd1 0.1764 0.3527 0.3237 x6  1 Si 2.40, 1 Al 2.62